An optimized crystal structure of TmThNp4, computed with PBE.

Cell lengths 5.7397, 5.7397, 5.7397 Å; angles 60.00, 60.00, 60.00 degrees
Fractional positions:
1 Np 0.6263 0.6263 0.1210
2 Np 0.6263 0.1210 0.6263
3 Np 0.6263 0.6263 0.6263
4 Np 0.1210 0.6263 0.6263
5 Tm 0.0000 0.0000 0.0000
6 Th 0.2500 0.2500 0.2500

- Crystal system: cubic
- ΔE_f: 0.350 eV per atom
- Total magnetization: 9.6 μB/f.u.
- V: 134 Å³/f.u.